Density functional theory data (PBE-GGA) for a relaxed structure of UCoSn.

Results
ΔE_f in eV per formula unit: -0.2
Symmetry: I4mm (107)
Crystal system: tetragonal
Raw total energy in eV/atom: -7.54
Magnetic moment in μB per cell: 1.1

Unit cell a=3.123 b=3.123 c=6.183 alpha=104.63 beta=104.63 gamma=90.00
Fractional coordinates of all 3 atoms:
U 0.306 0.306 0.612
Co 0.672 0.672 0.345
Sn 0.022 0.022 0.043